Computed, not measured: crystalline MgZn2Cu4 at its relaxed geometry at the PBEsol level of DFT.

Unit cell a=5.0087 b=5.0087 c=5.0087 alpha=103.35 beta=103.35 gamma=122.56
Closest atoms and distances in Å follow each position.
Element x y z (fractional)
Mg1 0.0000 0.0000 0.0000  12 Cu 2.68-2.96
Zn1 0.2500 0.7500 0.5000  2 Zn 2.41, 8 Cu 2.55
Zn2 0.7500 0.2500 0.5000  2 Zn 2.41, 8 Cu 2.55
Cu1 0.3047 0.3047 0.6095  4 Cu 2.43-2.59, 4 Zn 2.55, 1 Mg 2.68
Cu2 0.3047 0.6953 0.0000  4 Cu 2.43-2.59, 4 Zn 2.55, 1 Mg 2.68
Cu3 0.6953 0.3047 0.0000  4 Cu 2.43-2.59, 4 Zn 2.55, 1 Mg 2.68
Cu4 0.6953 0.6953 0.3905  4 Cu 2.43-2.59, 4 Zn 2.55, 1 Mg 2.68

**Magnetization**: 0.0 μB/cell
**Distance to the lowest polymorph of the same formula**: 0.0 meV/atom
**Calculated volume**: 13.268 Å³/atom
**Symmetry**: I4/mmm, No. 139
**Energy of formation**: -50 meV per atom